No. 1
First-principles (PBE) data for a relaxed TbTlHgS3 crystal, as listed in OQMD.

Geometry as POSCAR:
```
TbTlHgS3
1.0
-5.982 -6.267 -8.483
2.210 -3.350 0.916
-8.576 -3.331 8.508
Hg S Tb Tl
4 12 4 4
direct
0.252 0.750 0.183
0.752 0.750 0.317
0.248 0.250 0.683
0.748 0.250 0.817
0.087 0.750 0.065
0.736 0.250 0.175
0.459 0.750 0.190
0.959 0.750 0.310
0.236 0.250 0.325
0.587 0.750 0.435
0.413 0.250 0.565
0.764 0.750 0.675
0.041 0.250 0.690
0.541 0.250 0.810
0.264 0.750 0.825
0.913 0.250 0.935
0.959 0.250 0.160
0.459 0.250 0.340
0.541 0.750 0.660
0.041 0.750 0.840
0.644 0.750 0.027
0.144 0.750 0.473
0.856 0.250 0.527
0.356 0.250 0.973
```

Computed properties:
distance to the lowest polymorph of the same formula	0.045	eV per atom

***

No. 2
First-principles (PBE) data for a relaxed ZrF4 crystal, as listed in OQMD.

Geometry as POSCAR:
```
ZrF4
1.0
-0.590 2.041 4.523
-3.899 -2.916 0.807
3.199 -4.468 -0.686
F Zr
8 2
direct
0.871 0.354 0.110
0.395 0.183 0.119
0.605 0.683 0.381
0.129 0.854 0.390
0.871 0.146 0.610
0.395 0.317 0.619
0.605 0.817 0.881
0.129 0.646 0.890
0.000 0.000 0.000
0.000 0.500 0.500
```

Computed properties:
total energy	-6.601	eV per atom